# Rb2TmCdCl6

Crystalline Rb2TmCdCl6 at its relaxed geometry (PBE-GGA, the Alexandria database). Values from VASP.

M_tot = 0.8 μB per formula unit
energy relative to the elements, uncorrected = -1.77 eV/atom

```
&SYSTEM
  ibrav = 0, nat = 20, ntyp = 4
/
ATOMIC_SPECIES
Rb 85.47 Rb.upf
Tm 168.93 Tm.upf
Cd 112.41 Cd.upf
Cl 35.45 Cl.upf
ATOMIC_POSITIONS angstrom
Rb 1.904 0.273 1.682
Rb 1.904 5.241 1.682
Rb 5.712 5.788 6.409
Rb 5.712 10.755 6.409
Tm 1.904 8.272 6.262
Tm 5.712 2.757 1.829
Cd 1.904 2.757 5.829
Cd 5.712 8.272 2.263
Cl 0.004 2.757 3.585
Cl 7.612 8.272 4.507
Cl 0.085 8.272 0.059
Cl 1.904 5.666 6.338
Cl 1.904 10.877 6.338
Cl 3.723 8.272 0.059
Cl 3.804 2.757 3.585
Cl 3.812 8.272 4.507
Cl 3.893 2.757 8.033
Cl 5.712 0.152 1.753
Cl 5.712 5.363 1.753
Cl 7.530 2.757 8.033
CELL_PARAMETERS angstrom
7.616 0.000 0.000
0.000 11.029 0.000
0.000 0.000 8.092
```